[1]
VASP calculation (PBE) on an optimized crystal structure of Ac2MgP3Ir12.

a b c (Å): 7.373 7.373 7.373
angles (deg): 69.55 69.55 69.55
Fractional positions:
Ac 0.604 0.604 0.604
Ac 0.396 0.396 0.396
Ir 0.335 0.335 0.915
Ir 0.864 0.864 0.363
Ir 0.335 0.915 0.335
Ir 0.665 0.665 0.085
Ir 0.136 0.136 0.637
Ir 0.136 0.637 0.136
Ir 0.864 0.363 0.864
Ir 0.363 0.864 0.864
Ir 0.637 0.136 0.136
Ir 0.665 0.085 0.665
Ir 0.915 0.335 0.335
Ir 0.085 0.665 0.665
P 0.500 0.000 0.000
P 0.000 0.000 0.500
P 0.000 0.500 0.000
Mg 0.000 0.000 0.000

## Properties
**Space group**: R-3m, No. 166
**Energy of formation from the pure elements**: 0.085 eV/atom
**Uncorrected energy**: -7.269 eV per atom


[2]
VASP calculation (PBE) on an optimized crystal structure of CaZr2In.

a b c (Å): 4.732 4.549 4.549
angles (deg): 90.00 90.00 90.00
Fractional positions:
Zr 0.000 0.000 0.000
Zr 0.000 0.500 0.500
In 0.500 0.000 0.500
Ca 0.500 0.500 0.000

## Properties
**Space group**: P4/mmm, No. 123
**Energy of formation from the pure elements**: 0.011 eV/atom
**Uncorrected energy**: -5.448 eV per atom


[3]
VASP calculation (PBE) on an optimized crystal structure of FeW2Cl8.

a b c (Å): 5.940 7.879 7.879
angles (deg): 68.58 91.36 91.36
Fractional positions:
Fe 0.000 0.000 0.000
Cl 0.712 0.113 0.113
Cl 0.835 0.718 0.718
Cl 0.700 0.642 0.157
Cl 0.700 0.157 0.642
Cl 0.288 0.887 0.887
Cl 0.300 0.843 0.358
Cl 0.300 0.358 0.843
Cl 0.165 0.282 0.282
W 0.695 0.874 0.874
W 0.305 0.126 0.126

## Properties
**Space group**: C2/m, No. 12
**Energy relative to the elements, uncorrected**: -0.441 eV/atom
**Uncorrected energy**: -4.908 eV per atom